(1)
An optimized crystal structure of BeGa2Mo. Source: Alexandria, functional PBE-GGA.

Geometry as POSCAR:
```
BeGa2Mo
1.0
-6.090 -2.088 1.944
2.827 -3.807 4.768
-1.774 -1.014 4.985
Ga Be Mo
4 2 2
Direct
0.875 0.829 0.750
0.375 0.421 0.750
0.171 0.625 0.250
0.579 0.125 0.250
0.500 0.500 0.000
0.250 0.750 0.500
0.000 0.000 0.000
0.750 0.250 0.500
```

Values from the calculation:
- DFT formation energy (eV/atom) = 0.276
- uncorrected energy (eV per cell) = -39.02

---

(2)
An optimized crystal structure of Be4GaMo. Source: Alexandria, functional PBE-GGA.

Geometry as POSCAR:
```
Be4GaMo
1.0
4.445 0.000 0.000
2.223 3.850 0.000
2.223 1.283 3.630
Be Mo Ga
4 1 1
Direct
0.621 0.621 0.621
0.621 0.136 0.621
0.621 0.621 0.136
0.136 0.621 0.621
0.250 0.250 0.250
0.000 0.000 0.000
```

Values from the calculation:
- DFT formation energy (eV/atom) = 0.032
- uncorrected energy (eV per cell) = -28.57

---

(3)
An optimized crystal structure of BeGaMo. Source: Alexandria, functional PBE-GGA.

Geometry as POSCAR:
```
BeGaMo
1.0
-3.728 3.703 3.343
-5.818 2.542 2.024
6.197 -6.671 0.624
Ga Mo Be
2 2 2
Direct
0.181 0.912 0.403
0.819 0.088 0.597
0.281 0.128 0.095
0.719 0.872 0.905
0.495 0.292 0.786
0.505 0.708 0.214
```

Values from the calculation:
- DFT formation energy (eV/atom) = 0.025
- uncorrected energy (eV per cell) = -35.02

---

(4)
An optimized crystal structure of BeGaMo2. Source: Alexandria, functional PBE-GGA.

Geometry as POSCAR:
```
BeGaMo2
1.0
3.251 0.000 0.000
1.626 2.816 0.000
1.626 0.939 6.288
Be Mo Ga
1 2 1
Direct
0.000 0.000 0.000
0.267 0.267 0.199
0.733 0.733 0.801
0.500 0.500 0.500
```

Values from the calculation:
- DFT formation energy (eV/atom) = 0.279
- uncorrected energy (eV per cell) = -27.30

---

(5)
An optimized crystal structure of Be2Ga2Mo. Source: Alexandria, functional PBE-GGA.

Geometry as POSCAR:
```
Be2Ga2Mo
1.0
6.796 0.000 0.000
0.000 6.796 0.000
0.000 0.000 2.807
Be Ga Mo
4 4 2
Direct
0.665 0.835 0.500
0.335 0.165 0.500
0.835 0.335 0.500
0.165 0.665 0.500
0.135 0.365 0.000
0.365 0.865 0.000
0.635 0.135 0.000
0.865 0.635 0.000
0.500 0.500 0.000
0.000 0.000 0.000
```

Values from the calculation:
- DFT formation energy (eV/atom) = 0.229
- uncorrected energy (eV per cell) = -46.39
- distance to the lowest polymorph of the same formula (meV per atom) = 66

---

(6)
An optimized crystal structure of Be2GaMo2. Source: Alexandria, functional PBE-GGA.

Geometry as POSCAR:
```
Be2GaMo2
1.0
-3.102 -1.141 5.046
-1.948 -5.192 -2.373
2.662 -1.583 1.279
Mo Be Ga
4 4 2
Direct
0.676 0.824 0.500
0.176 0.676 0.500
0.824 0.324 0.500
0.324 0.176 0.500
0.118 0.382 0.000
0.618 0.118 0.000
0.382 0.882 0.000
0.882 0.618 0.000
0.500 0.500 0.000
0.000 0.000 0.000
```

Values from the calculation:
- DFT formation energy (eV/atom) = -0.122
- uncorrected energy (eV per cell) = -65.50

---

(7)
An optimized crystal structure of Be3GaMo. Source: Alexandria, functional PBE-GGA.

Geometry as POSCAR:
```
Be3GaMo
1.0
4.028 0.000 0.000
0.000 4.028 0.000
0.000 0.000 4.028
Be Mo Ga
3 1 1
Direct
0.000 0.500 0.000
0.500 0.000 0.000
0.000 0.000 0.500
0.500 0.500 0.500
0.000 0.000 0.000
```

Values from the calculation:
- DFT formation energy (eV/atom) = 1.075
- uncorrected energy (eV per cell) = -19.66
- distance to the lowest polymorph of the same formula (meV per atom) = 0

---

(8)
An optimized crystal structure of Be3GaMo. Source: Alexandria, functional PBE-GGA.

Geometry as POSCAR:
```
Be3GaMo
1.0
-1.746 -0.698 3.887
-3.150 -2.316 -1.831
2.381 -3.576 0.428
Be Mo Ga
3 1 1
Direct
0.000 0.500 0.000
0.500 0.000 0.000
0.000 0.000 0.500
0.000 0.000 0.000
0.500 0.500 0.500
```

Values from the calculation:
- DFT formation energy (eV/atom) = 1.288
- uncorrected energy (eV per cell) = -18.60
- distance to the lowest polymorph of the same formula (meV per atom) = 213

---

(9)
An optimized crystal structure of Be2GaMo. Source: Alexandria, functional PBE-GGA.

Geometry as POSCAR:
```
Be2GaMo
1.0
-5.160 3.604 -0.860
-3.705 -5.036 1.126
-4.449 -0.154 2.590
Ga Be Mo
2 4 2
Direct
0.500 0.500 0.000
0.250 0.750 0.500
0.875 0.859 0.750
0.609 0.125 0.250
0.375 0.391 0.750
0.141 0.625 0.250
0.750 0.250 0.500
0.000 0.000 0.000
```

Values from the calculation:
- DFT formation energy (eV/atom) = 0.355
- uncorrected energy (eV per cell) = -39.78

---

(10)
An optimized crystal structure of Be2GaMo. Source: Alexandria, functional PBE-GGA.

Geometry as POSCAR:
```
Be2GaMo
1.0
3.452 0.000 0.000
0.000 3.695 0.000
0.000 0.000 3.695
Be Mo Ga
2 1 1
Direct
0.000 0.500 0.000
0.000 0.000 0.500
0.500 0.000 0.000
0.500 0.500 0.500
```

Values from the calculation:
- DFT formation energy (eV/atom) = -0.103
- uncorrected energy (eV per cell) = -21.72

---

(11)
An optimized crystal structure of BeGaN2. Source: Alexandria, functional PBE-GGA.

Geometry as POSCAR:
```
BeGaN2
1.0
0.000 2.572 2.572
2.572 0.000 2.572
2.572 2.572 0.000
N Ga Be
2 1 1
Direct
0.250 0.250 0.250
0.750 0.750 0.750
0.500 0.500 0.500
0.000 0.000 0.000
```

Values from the calculation:
- uncorrected energy (eV per cell) = -19.31
- energy relative to the elements, uncorrected (eV per atom) = 1.02
- distance to the lowest polymorph of the same formula (meV per atom) = 1295

---

(12)
An optimized crystal structure of BeGaN2. Source: Alexandria, functional PBE-GGA.

Geometry as POSCAR:
```
BeGaN2
1.0
1.772 0.000 5.268
-0.886 1.535 5.268
-0.886 -1.535 5.268
Be Ga N
1 1 2
Direct
0.000 0.000 0.000
0.500 0.500 0.500
0.903 0.903 0.903
0.097 0.097 0.097
```

Values from the calculation:
- uncorrected energy (eV per cell) = -22.94
- energy relative to the elements, uncorrected (eV per atom) = 0.12
- distance to the lowest polymorph of the same formula (meV per atom) = 388